Computed, not measured: crystalline Mg30NbNiO32 at its relaxed geometry at the GGA+U level of DFT.

Cell lengths 8.5433, 8.5433, 8.5441 Å; angles 90.00, 90.00, 90.00 degrees
Fractional coordinates of all 64 atoms:
Mg 0.0000 0.0000 0.0000
Mg 0.0000 0.2493 0.2504
Mg 0.0000 0.2493 0.7496
Mg 0.0000 0.5000 0.0000
Mg 0.0000 0.5000 0.5000
Mg 0.0000 0.7507 0.2504
Mg 0.0000 0.7507 0.7496
Mg 0.2476 0.2476 0.5000
Mg 0.2481 0.5000 0.2483
Mg 0.2481 0.5000 0.7517
Mg 0.2476 0.7524 0.5000
Mg 0.2493 0.0000 0.2504
Mg 0.2493 0.0000 0.7496
Mg 0.2498 0.2498 0.0000
Mg 0.2498 0.7502 0.0000
Mg 0.5000 0.0000 0.0000
Mg 0.5000 0.0000 0.5000
Mg 0.5000 0.2481 0.2483
Mg 0.5000 0.2481 0.7517
Mg 0.5000 0.5000 0.0000
Mg 0.5000 0.7519 0.2483
Mg 0.5000 0.7519 0.7517
Mg 0.7502 0.2498 0.0000
Mg 0.7502 0.7502 0.0000
Mg 0.7507 0.0000 0.2504
Mg 0.7507 0.0000 0.7496
Mg 0.7524 0.2476 0.5000
Mg 0.7519 0.5000 0.2483
Mg 0.7519 0.5000 0.7517
Mg 0.7524 0.7524 0.5000
Nb 0.5000 0.5000 0.5000
Ni 0.0000 0.0000 0.5000
O 0.0000 0.0000 0.2487
O 0.0000 0.0000 0.7513
O 0.0000 0.2494 0.0000
O 0.0000 0.2492 0.5000
O 0.0000 0.5000 0.2486
O 0.0000 0.5000 0.7514
O 0.0000 0.7506 0.0000
O 0.0000 0.7508 0.5000
O 0.2374 0.5000 0.5000
O 0.2484 0.5000 0.0000
O 0.2494 0.0000 0.0000
O 0.2492 0.0000 0.5000
O 0.2500 0.2500 0.2504
O 0.2500 0.2500 0.7496
O 0.2500 0.7500 0.2504
O 0.2500 0.7500 0.7496
O 0.5000 0.0000 0.2486
O 0.5000 0.0000 0.7514
O 0.5000 0.2374 0.5000
O 0.5000 0.2484 0.0000
O 0.5000 0.5000 0.2375
O 0.5000 0.5000 0.7625
O 0.5000 0.7516 0.0000
O 0.5000 0.7626 0.5000
O 0.7500 0.2500 0.2504
O 0.7500 0.2500 0.7496
O 0.7500 0.7500 0.2504
O 0.7500 0.7500 0.7496
O 0.7506 0.0000 0.0000
O 0.7508 0.0000 0.5000
O 0.7516 0.5000 0.0000
O 0.7626 0.5000 0.5000

Calculated values
Space-group type ... P4/mmm
Density ... 3.7 g/cm3
Calculated total energy ... -384.6 eV for the cell shown